A plane-wave DFT calculation with PBE was carried out for a relaxed structure of KCuTc2.

Cell and atoms, written as extended XYZ:
```
4
Lattice="-1.2977 2.4292 5.5388 1.2977 -2.4292 5.5388 1.2977 2.4292 -5.5388" Properties=species:S:1:pos:R:3 pbc="T T T"
K 0.0000 0.0000 0.0000
Cu 0.0000 0.0000 5.5388
Tc 1.2977 0.0000 3.1713
Tc 0.0000 2.4292 2.3675
```

total magnetization = 0.00 μB per formula unit
ΔH_f (0 K) = 0.863 eV/atom
offset from the most stable computed form = 0.277 eV per atom
raw total energy = -5.62 eV/atom

=====

A plane-wave DFT calculation with PBE was carried out for a relaxed structure of GaGeBi2Ir.

Cell and atoms, written as extended XYZ:
```
5
Lattice="5.5838 0.0000 0.0000 0.0000 5.5838 0.0000 0.0000 0.0000 4.6033" Properties=species:S:1:pos:R:3 pbc="T T T"
Ga 0.0000 0.0000 0.0000
Ge 2.7919 2.7919 2.3017
Bi 0.0000 2.7919 2.3017
Bi 2.7919 0.0000 2.3017
Ir 2.7919 2.7919 0.0000
```

total magnetization = 0.00 μB per formula unit
ΔH_f (0 K) = 0.723 eV/atom
raw total energy = -4.13 eV/atom

=====

A plane-wave DFT calculation with PBE was carried out for a relaxed structure of Pr4DyTl2.

Cell and atoms, written as extended XYZ:
```
7
Lattice="6.3290 0.0000 0.0000 -0.4640 6.3333 0.0000 -0.4385 -2.6652 5.7867" Properties=species:S:1:pos:R:3 pbc="T T T"
Pr 0.0000 0.0000 0.0000
Pr -0.4513 1.8341 2.8933
Pr 2.9318 1.3241 1.1988
Pr 2.4947 2.3440 4.5879
Dy -0.2320 3.1667 0.0000
Tl 1.3994 -1.0638 3.3240
Tl 4.0271 4.7319 2.4627
```

total magnetization = 0.04 μB per formula unit
ΔH_f (0 K) = 0.069 eV/atom
offset from the most stable computed form = 0.055 eV per atom
raw total energy = -4.00 eV/atom

=====

A plane-wave DFT calculation with PBE was carried out for a relaxed structure of NaLa2GaRh.

Cell and atoms, written as extended XYZ:
```
5
Lattice="5.5713 0.0000 0.0000 0.0000 5.5713 0.0000 0.0000 0.0000 4.9458" Properties=species:S:1:pos:R:3 pbc="T T T"
Na 0.0000 0.0000 0.0000
La 0.0000 2.7857 2.4729
La 2.7857 0.0000 2.4729
Ga 2.7857 2.7857 0.0000
Rh 2.7857 2.7857 2.4729
```

total magnetization = 0.00 μB per formula unit
ΔH_f (0 K) = -0.358 eV/atom
raw total energy = -4.67 eV/atom

=====

A plane-wave DFT calculation with PBE was carried out for a relaxed structure of KBeAg2.

Cell and atoms, written as extended XYZ:
```
4
Lattice="3.9202 -2.1275 0.0000 3.9202 2.1275 0.0000 -2.4549 0.0000 6.1767" Properties=species:S:1:pos:R:3 pbc="T T T"
K 0.0000 0.0000 0.0000
Be 0.2333 0.0000 3.3116
Ag 2.8576 0.0000 3.5745
Ag 5.3991 0.0000 2.7093
```

total magnetization = 0.00 μB per formula unit
ΔH_f (0 K) = 0.254 eV/atom
raw total energy = -2.38 eV/atom

=====

A plane-wave DFT calculation with PBE was carried out for a relaxed structure of SnTe2Br.

Cell and atoms, written as extended XYZ:
```
4
Lattice="1.7021 0.9827 11.2214 -1.7021 0.9827 11.2214 0.0000 -1.9654 11.2214" Properties=species:S:1:pos:R:3 pbc="T T T"
Sn 0.0000 0.0000 0.0000
Te 0.0000 0.0000 2.9901
Te 0.0000 0.0000 30.6741
Br 0.0000 0.0000 16.8321
```

total magnetization = 0.00 μB per formula unit
formation energy (no corrections) = 0.176 eV per atom
offset from the most stable computed form = 0.285 eV per atom
raw total energy = -2.81 eV/atom